Below is a relaxed structure of LiCu2Sn2Pd5, with properties calculated at the GGA-PBE level.

Cell lengths 9.1062, 9.1062, 3.9517 Å; angles 90.00, 90.00, 90.00 degrees
Space group P4/mbm (No. 127)
Asymmetric unit:
1 Li 0.0000 0.0000 0.0000
2 Cu 0.1250 0.3750 0.0000
3 Sn 0.1711 0.6711 0.0000
4 Pd 0.0000 0.5000 0.5000
5 Pd 0.0949 0.1892 0.5000

## Properties
DFT formation energy, eV/atom: -0.26



Below is a relaxed structure of SiRu2Au2, with properties calculated at the GGA-PBE level.

Cell lengths 6.0991, 6.0991, 4.3924 Å; angles 90.00, 90.00, 90.00 degrees
Space group P4/mbm (No. 127)
Asymmetric unit:
1 Si 0.0000 0.0000 0.0000
2 Ru 0.1413 0.3587 0.0000
3 Au 0.1704 0.6704 0.5000

## Properties
Formation energy from raw total energies, eV per atom: 0.08



Below is a relaxed structure of Nd6Ru2PtBr3, with properties calculated at the GGA-PBE level.

Cell lengths 7.1501, 12.3859, 8.2107 Å; angles 90.00, 106.85, 90.00 degrees
Space group C2/m (No. 12)
Asymmetric unit:
1 Nd 0.2201 0.0000 0.1968
2 Nd 0.2382 0.3274 0.1971
3 Ru 0.0000 0.1665 0.0000
4 Pt 0.0000 0.5000 0.0000
5 Br 0.0000 0.0000 0.5000
6 Br 0.0000 0.3311 0.5000

## Properties
Formation energy from raw total energies, eV per atom: -0.96



Below is a relaxed structure of TeRhN2O, with properties calculated at the GGA-PBE level.

Cell lengths 3.6751, 3.6751, 5.8770 Å; angles 90.00, 90.00, 90.00 degrees
Space group P4/mmm (No. 123)
Asymmetric unit:
1 Te 0.0000 0.0000 0.0000
2 Rh 0.0000 0.0000 0.5000
3 N 0.0000 0.5000 0.5000
4 O 0.5000 0.5000 0.0000

## Properties
Formation energy from raw total energies, eV per atom: 1.00



Below is a relaxed structure of KNi, with properties calculated at the GGA-PBE level.

Cell lengths 2.9430, 5.9063, 6.2901 Å; angles 107.44, 103.49, 90.14 degrees
Space group P-1 (No. 2)
Asymmetric unit:
1 K 0.1012 0.3083 0.1972
2 Ni 0.3168 0.1204 0.6325

## Properties
Polymorph energy (0 for the lowest one), eV per atom: 0.162
DFT formation energy, eV/atom: 0.67



Below is a relaxed structure of PrDy12Ho2, with properties calculated at the GGA-PBE level.

Cell lengths 7.1159, 11.1475, 24.3400 Å; angles 90.00, 94.17, 90.00 degrees
Space group C2/m (No. 12)
Asymmetric unit:
1 Pr 0.2503 0.0000 0.0006
2 Dy 0.0180 0.2499 0.0754
3 Dy 0.1121 0.2530 0.4448
4 Dy 0.1406 0.0000 0.5768
5 Dy 0.1456 0.5000 0.5724
6 Dy 0.1675 0.2524 0.6695
7 Dy 0.2005 0.2485 0.7973
8 Dy 0.2159 0.5000 0.8601
9 Dy 0.2166 0.0000 0.8618
10 Ho 0.0652 0.0000 0.2722
11 Ho 0.0697 0.5000 0.2727

## Properties
DFT formation energy, eV/atom: 0.11



Below is a relaxed structure of Na12H5Se3, with properties calculated at the GGA-PBE level.

Cell lengths 15.2218, 15.2218, 15.2218 Å; angles 90.00, 90.00, 90.00 degrees
Space group Ia-3d (No. 230)
Asymmetric unit:
1 Na 0.0292 0.0573 0.6537
2 H 0.0000 0.0000 0.0000
3 H 0.0000 0.2500 0.3750
4 Se 0.0000 0.2500 0.1250

## Properties
Total DFT energy (no corrections), eV/atom: -2.642



Below is a relaxed structure of PPdO3, with properties calculated at the GGA-PBE level.

Cell lengths 2.5325, 5.7877, 8.9497 Å; angles 90.00, 90.95, 90.00 degrees
Space group P2_1/m (No. 11)
Asymmetric unit:
1 P 0.2325 0.2500 0.2375
2 Pd 0.2596 0.2500 0.6422
3 O 0.2423 0.2500 0.4056
4 O 0.2704 0.5591 0.8139

## Properties
Formation energy from raw total energies, eV per atom: -0.96



Below is a relaxed structure of TmCdPdRh, with properties calculated at the GGA-PBE level.

Cell lengths 6.6478, 6.6478, 6.6478 Å; angles 90.00, 90.00, 90.00 degrees
Space group F-43m (No. 216)
Asymmetric unit:
1 Tm 0.0000 0.0000 0.0000
2 Cd 0.0000 0.0000 0.5000
3 Pd 0.2500 0.2500 0.7500
4 Rh 0.2500 0.2500 0.2500

## Properties
DFT formation energy, eV/atom: -0.69



Below is a relaxed structure of NaTlCd2, with properties calculated at the GGA-PBE level.

Cell lengths 8.5579, 8.5579, 6.2611 Å; angles 90.00, 90.00, 90.00 degrees
Space group I-42d (No. 122)
Asymmetric unit:
1 Na 0.0000 0.0000 0.0000
2 Tl 0.0000 0.0000 0.5000
3 Cd 0.2381 0.2500 0.6250

## Properties
Polymorph energy (0 for the lowest one), eV per atom: 0.123
DFT formation energy, eV/atom: 0.06



Below is a relaxed structure of NaPaGa2I8, with properties calculated at the GGA-PBE level.

Cell lengths 7.3457, 7.8754, 9.3843 Å; angles 89.98, 89.96, 88.55 degrees
Space group P-1 (No. 2)
Asymmetric unit:
1 Na 0.0000 0.0000 0.0000
2 Pa 0.0000 0.0000 0.5000
3 Ga 0.4997 0.5000 0.2250
4 I 0.2262 0.6879 0.5004
5 I 0.2354 0.1470 0.7243
6 I 0.2358 0.1464 0.2753
7 I 0.2688 0.6696 0.9998

## Properties
Formation energy from raw total energies, eV per atom: -0.76



Below is a relaxed structure of NaTbPb, with properties calculated at the GGA-PBE level.

Cell lengths 7.3452, 7.3452, 7.3452 Å; angles 90.00, 90.00, 90.00 degrees
Space group F-43m (No. 216)
Asymmetric unit:
1 Na 0.0000 0.0000 0.0000
2 Tb 0.0000 0.0000 0.5000
3 Pb 0.2500 0.2500 0.2500

## Properties
DFT formation energy, eV/atom: -0.19



Below is a relaxed structure of Pm3In2BRh3, with properties calculated at the GGA-PBE level.

Cell lengths 7.6782, 7.6782, 3.7054 Å; angles 90.00, 90.00, 120.00 degrees
Space group P-62m (No. 189)
Asymmetric unit:
1 Pm 0.0000 0.3512 0.0000
2 In 0.3333 0.6667 0.5000
3 B 0.0000 0.0000 0.0000
4 Rh 0.0000 0.7933 0.5000

## Properties
DFT formation energy, eV/atom: -0.43



Below is a relaxed structure of Sm3Dy2Tl3, with properties calculated at the GGA-PBE level.

Cell lengths 4.4315, 5.0342, 21.0485 Å; angles 90.00, 90.00, 90.00 degrees
Space group Immm (No. 71)
Asymmetric unit:
1 Sm 0.0000 0.0000 0.0000
2 Sm 0.0000 0.5000 0.1196
3 Dy 0.0000 0.0000 0.2371
4 Tl 0.0000 0.0000 0.5000
5 Tl 0.0000 0.5000 0.3711

## Properties
DFT formation energy, eV/atom: -0.27



Below is a relaxed structure of Ca3AcGe2, with properties calculated at the GGA-PBE level.

Cell lengths 4.8200, 9.3057, 8.0319 Å; angles 90.00, 90.00, 90.00 degrees
Space group Pmc2_1 (No. 26)
Asymmetric unit:
1 Ca 0.0000 0.0848 0.0000
2 Ca 0.0000 0.3101 0.3783
3 Ca 0.5000 0.1697 0.6678
4 Ac 0.5000 0.4254 0.0489
5 Ge 0.0000 0.3648 0.7627
6 Ge 0.5000 0.1383 0.2806

## Properties
DFT formation energy, eV/atom: -0.57



Below is a relaxed structure of Pa2TcC, with properties calculated at the GGA-PBE level.

Cell lengths 3.2874, 3.2874, 24.2683 Å; angles 90.00, 90.00, 120.00 degrees
Space group R-3m (No. 166, hexagonal axes)
Asymmetric unit:
1 Pa 0.0000 0.0000 0.1029
2 Tc 0.0000 0.0000 0.0000
3 C 0.0000 0.0000 0.5000

## Properties
Polymorph energy (0 for the lowest one), eV per atom: 0.315
DFT formation energy, eV/atom: 0.10



Below is a relaxed structure of Os2SeCl, with properties calculated at the GGA-PBE level.

Cell lengths 4.2520, 4.2520, 15.0563 Å; angles 90.00, 90.00, 90.00 degrees
Space group I-42d (No. 122)
Asymmetric unit:
1 Os 0.2291 0.2500 0.1250
2 Se 0.0000 0.0000 0.5000
3 Cl 0.0000 0.0000 0.0000

## Properties
Formation energy from raw total energies, eV per atom: 0.90
Polymorph energy (0 for the lowest one), eV per atom: 0.677



Below is a relaxed structure of K2InSb2, with properties calculated at the GGA-PBE level.

Cell lengths 8.0481, 8.0481, 5.6230 Å; angles 90.00, 90.00, 90.00 degrees
Space group P4/mbm (No. 127)
Asymmetric unit:
1 K 0.1702 0.3298 0.0000
2 In 0.0000 0.0000 0.5000
3 Sb 0.1288 0.6288 0.5000

## Properties
Formation energy from raw total energies, eV per atom: -0.31
Polymorph energy (0 for the lowest one), eV per atom: 0.062



Below is a relaxed structure of In2AgW, with properties calculated at the GGA-PBE level.

Cell lengths 4.1919, 4.1919, 8.7814 Å; angles 90.00, 90.00, 90.00 degrees
Space group I4/mmm (No. 139)
Asymmetric unit:
1 In 0.0000 0.5000 0.2500
2 Ag 0.0000 0.0000 0.0000
3 W 0.0000 0.0000 0.5000

## Properties
Polymorph energy (0 for the lowest one), eV per atom: 0.229
DFT formation energy, eV/atom: 0.63



Below is a relaxed structure of Li2CaN2, with properties calculated at the GGA-PBE level.

Cell lengths 3.4657, 3.4657, 5.8426 Å; angles 90.00, 90.00, 120.00 degrees
Space group P-3m1 (No. 164)
Asymmetric unit:
1 Li 0.3333 0.6667 0.1147
2 Ca 0.0000 0.0000 0.5000
3 N 0.3333 0.6667 0.7551

## Properties
Formation energy from raw total energies, eV per atom: -0.14